# 1
# NiWC

A relaxed structure of NiWC (PBE, Alexandria via LeMat-Bulk).

Cell lengths 3.0033, 3.0033, 11.3090 Å; angles 82.37, 82.37, 60.00 degrees
Closest atoms and distances in Å follow each position.
Element x y z (fractional)
1 C 0.2828 0.2828 0.1517  3 W 1.99
2 W 0.5869 0.5869 0.2392  3 C 1.99
3 Ni 0.8603 0.8603 0.4190  3 Ni 2.51, 3 W 2.65
4 Ni 0.1397 0.1397 0.5810  3 Ni 2.51, 3 W 2.65
5 W 0.4131 0.4131 0.7608  3 C 1.99
6 C 0.7172 0.7172 0.8483  3 W 1.99

## Properties
DFT formation energy	0.799	eV/atom

# 2
# BaSnAsBr2

A relaxed structure of BaSnAsBr2 (PBE, Alexandria via LeMat-Bulk).

Cell lengths 5.7135, 5.7135, 5.3300 Å; angles 90.00, 90.00, 90.00 degrees
Closest atoms and distances in Å follow each position.
Element x y z (fractional)
1 Sn 0.0000 0.0000 0.0000  2 As 2.66, 4 Br 2.86
2 As 0.0000 0.0000 0.5000  2 Sn 2.66
3 Br 0.5000 0.0000 0.0000  2 Sn 2.86
4 Br 0.0000 0.5000 0.0000  2 Sn 2.86
5 Ba 0.5000 0.5000 0.5000  8 Br 3.91, 4 As 4.04

## Properties
formation energy without anion corrections	-0.784	eV per atom

# 3
# CuWSe

A relaxed structure of CuWSe (PBE, Alexandria via LeMat-Bulk).

Cell lengths 7.1518, 3.2830, 8.7713 Å; angles 90.00, 91.42, 90.00 degrees
Closest atoms and distances in Å follow each position.
Element x y z (fractional)
1 Se 0.7843 0.5000 0.7393  3 Cu 2.52-2.61, 2 W 2.69
2 Cu 0.8671 0.5000 0.0198  1 Cu 2.36, 3 Se 2.52-2.61
3 W 0.3478 0.5000 0.7446  3 Se 2.59-2.65, 2 W 2.60, 3 Cu 2.70-2.74
4 W 0.0749 0.5000 0.2981  4 Cu 2.58-2.83, 2 W 2.60, 2 Se 2.69
5 Cu 0.1972 0.0000 0.5234  1 Cu 2.36, 2 Se 2.55, 1 W 2.58
6 Cu 0.8671 0.0000 0.5198  1 Cu 2.36, 3 Se 2.52-2.61
7 W 0.3478 0.0000 0.2446  3 Se 2.59-2.65, 2 W 2.60, 3 Cu 2.70-2.74
8 Se 0.4559 0.0000 0.9579  2 Cu 2.55, 3 W 2.59-2.65
9 Se 0.4559 0.5000 0.4579  2 Cu 2.55, 3 W 2.59-2.65
10 Cu 0.1972 0.5000 0.0234  1 Cu 2.36, 2 Se 2.55, 1 W 2.58
11 W 0.0749 0.0000 0.7981  4 Cu 2.58-2.83, 2 W 2.60, 2 Se 2.69
12 Se 0.7843 0.0000 0.2393  3 Cu 2.52-2.61, 2 W 2.69

## Properties
formation energy without anion corrections	0.222	eV per atom

# 4
# Na2LaSO8

A relaxed structure of Na2LaSO8 (PBE, Alexandria via LeMat-Bulk).

Cell lengths 5.1691, 5.1691, 6.4481 Å; angles 90.00, 90.00, 120.00 degrees
Closest atoms and distances in Å follow each position.
Element x y z (fractional)
1 O 0.1474 0.2948 0.1511  1 S 1.64
2 O 0.8526 0.1474 0.8489  1 S 1.64
3 O 0.2948 0.1474 0.8489  1 S 1.64
4 Na 0.6667 0.3333 0.1122  10 O 2.34-2.60
5 La 0.0000 0.0000 0.5000  6 O 2.61
6 O 0.7052 0.8526 0.1511  1 S 1.64
7 O 0.8526 0.7052 0.8489  1 S 1.64
8 S 0.0000 0.0000 0.0000  6 O 1.64
9 O 0.6667 0.3333 0.4744  1 Na 2.34
10 Na 0.3333 0.6667 0.8878  10 O 2.34-2.60
11 O 0.1474 0.8526 0.1511  1 S 1.64
12 O 0.3333 0.6667 0.5256  1 Na 2.34

## Properties
formation energy without anion corrections	-1.037	eV per atom

# 5
# CaSiN2

A relaxed structure of CaSiN2 (PBE, Alexandria via LeMat-Bulk).

Cell lengths 5.1672, 10.2792, 14.8712 Å; angles 90.00, 90.00, 90.00 degrees
Closest atoms and distances in Å follow each position.
Element x y z (fractional)
1 Si 0.2256 0.0164 0.3120  4 N 1.74-1.76
2 Ca 0.1525 0.7260 0.6879  4 N 2.43-2.49
3 Ca 0.7401 0.4925 0.9349  4 N 2.41-2.49
4 Si 0.6844 0.7700 0.0626  4 N 1.76-1.78
5 Ca 0.6525 0.7260 0.8121  4 N 2.43-2.49
6 Si 0.7744 0.5164 0.1880  4 N 1.74-1.76
7 Si 0.2256 0.4836 0.8120  4 N 1.74-1.76
8 Si 0.1844 0.7300 0.9374  4 N 1.76-1.78
9 N 0.3034 0.9272 0.4094  2 Si 1.76-1.78
10 Ca 0.7599 0.9925 0.9349  4 N 2.41-2.49
11 N 0.9041 0.9768 0.2843  2 Si 1.75-1.76
12 Si 0.8156 0.2300 0.5626  4 N 1.76-1.78
13 Si 0.7256 0.0164 0.1880  4 N 1.74-1.76
14 Si 0.6844 0.7300 0.5626  4 N 1.76-1.78
15 N 0.6966 0.0728 0.5906  2 Si 1.76-1.78
16 Si 0.1844 0.7700 0.4374  4 N 1.76-1.78
17 Ca 0.3475 0.2260 0.6879  4 N 2.43-2.49
18 N 0.9041 0.5232 0.7843  2 Si 1.75-1.76
19 Ca 0.8475 0.2740 0.3121  4 N 2.43-2.49
20 Ca 0.2401 0.4925 0.5651  4 N 2.41-2.49
21 Si 0.7256 0.4836 0.6880  4 N 1.74-1.76
22 N 0.0959 0.0232 0.7157  2 Si 1.75-1.76
23 N 0.6483 0.2245 0.9639  2 Si 1.76-1.77
24 N 0.2727 0.1802 0.3381  2 Si 1.74-1.76
25 N 0.1966 0.4272 0.4094  2 Si 1.76-1.78
26 N 0.3517 0.7245 0.5361  2 Si 1.76-1.77
27 N 0.8517 0.7245 0.9639  2 Si 1.76-1.77
28 Ca 0.7401 0.0075 0.4349  4 N 2.41-2.49
29 N 0.1483 0.2755 0.0361  2 Si 1.76-1.77
30 N 0.3034 0.5728 0.9094  2 Si 1.76-1.78
31 N 0.6966 0.4272 0.0906  2 Si 1.76-1.78
32 N 0.8034 0.9272 0.0906  2 Si 1.76-1.78
33 Ca 0.2599 0.9925 0.5651  4 N 2.41-2.49
34 Si 0.7744 0.9836 0.6880  4 N 1.74-1.76
35 N 0.8034 0.5728 0.5906  2 Si 1.76-1.78
36 N 0.1966 0.0728 0.9094  2 Si 1.76-1.78
37 N 0.7273 0.6802 0.1619  2 Si 1.74-1.76
38 Si 0.2744 0.9836 0.8120  4 N 1.74-1.76
39 N 0.7273 0.8198 0.6619  2 Si 1.74-1.76
40 N 0.4041 0.9768 0.2157  2 Si 1.75-1.76
41 N 0.8517 0.7755 0.4639  2 Si 1.76-1.77
42 Si 0.3156 0.2300 0.9374  4 N 1.76-1.78
43 Si 0.2744 0.5164 0.3120  4 N 1.74-1.76
44 Si 0.3156 0.2700 0.4374  4 N 1.76-1.78
45 Ca 0.3475 0.2740 0.1879  4 N 2.43-2.49
46 Ca 0.7599 0.5075 0.4349  4 N 2.41-2.49
47 N 0.2273 0.6802 0.3381  2 Si 1.74-1.76
48 Ca 0.2599 0.5075 0.0651  4 N 2.41-2.49
49 N 0.4041 0.5232 0.7157  2 Si 1.75-1.76
50 Ca 0.1525 0.7740 0.1879  4 N 2.43-2.49
51 N 0.7727 0.1802 0.1619  2 Si 1.74-1.76
52 N 0.5959 0.4768 0.2843  2 Si 1.75-1.76
53 Ca 0.2401 0.0075 0.0651  4 N 2.41-2.49
54 N 0.3517 0.7755 0.0361  2 Si 1.76-1.77
55 Ca 0.8475 0.2260 0.8121  4 N 2.43-2.49
56 Ca 0.6525 0.7740 0.3121  4 N 2.43-2.49
57 N 0.1483 0.2245 0.5361  2 Si 1.76-1.77
58 N 0.2273 0.8198 0.8381  2 Si 1.74-1.76
59 N 0.5959 0.0232 0.7843  2 Si 1.75-1.76
60 N 0.7727 0.3198 0.6619  2 Si 1.74-1.76
61 N 0.0959 0.4768 0.2157  2 Si 1.75-1.76
62 N 0.2727 0.3198 0.8381  2 Si 1.74-1.76
63 Si 0.8156 0.2700 0.0626  4 N 1.76-1.78
64 N 0.6483 0.2755 0.4639  2 Si 1.76-1.77

## Properties
formation energy without anion corrections	-1.232	eV per atom

# 6
# Sr2Sb4Pd3Au

A relaxed structure of Sr2Sb4Pd3Au (PBE, Alexandria via LeMat-Bulk).

Cell lengths 4.7288, 4.7288, 10.9405 Å; angles 90.00, 90.00, 90.00 degrees
Closest atoms and distances in Å follow each position.
Element x y z (fractional)
1 Sr 0.5000 0.0000 0.2579  8 Sb 3.55-3.68, 6 Pd 3.55-3.65, 2 Au 3.55
2 Sb 0.0000 0.0000 0.0000  4 Pd 2.73
3 Pd 0.0000 0.0000 0.5000  4 Sb 2.78
4 Pd 0.0000 0.5000 0.1247  5 Sb 2.64-2.73
5 Sb 0.5000 0.5000 0.0000  4 Pd 2.73
6 Sb 0.5000 0.0000 0.6338  3 Pd 2.64-2.78, 2 Au 2.78
7 Sb 0.0000 0.5000 0.3662  3 Pd 2.64-2.78, 2 Au 2.78
8 Au 0.5000 0.5000 0.5000  4 Sb 2.78
9 Pd 0.5000 0.0000 0.8753  5 Sb 2.64-2.73
10 Sr 0.0000 0.5000 0.7421  8 Sb 3.55-3.68, 6 Pd 3.55-3.65, 2 Au 3.55

## Properties
formation energy without anion corrections	-0.719	eV per atom